Entry from the Open Quantum Materials Database: NaScTaIr after structural relaxation (PBE).

## Properties
VASP energy in eV/atom: -7.07
Crystal system: cubic
ΔE to the lowest computed polymorph in meV/atom: 0

Cell: 4.641 4.641 4.641 Å, 60.00 60.00 60.00°
Sites, in units of the cell vectors:
1 Na 0.000 0.000 0.000
2 Sc 0.750 0.750 0.750
3 Ta 0.250 0.250 0.250
4 Ir 0.500 0.500 0.500

Entry from the Open Quantum Materials Database: La3As3W2N12 after structural relaxation (PBE).

## Properties
VASP energy in eV/atom: -8.16
Crystal system: cubic

Cell: 11.021 11.021 11.021 Å, 109.47 109.47 109.47°
Sites, in units of the cell vectors:
1 La 0.125 0.250 0.375
2 La 0.125 0.375 0.750
3 La 0.250 0.375 0.125
4 La 0.250 0.875 0.625
5 La 0.375 0.125 0.250
6 La 0.375 0.750 0.125
7 La 0.625 0.250 0.875
8 La 0.625 0.875 0.750
9 La 0.750 0.125 0.375
10 La 0.750 0.625 0.875
11 La 0.875 0.625 0.250
12 La 0.875 0.750 0.625
13 As 0.125 0.750 0.875
14 As 0.125 0.875 0.250
15 As 0.250 0.125 0.875
16 As 0.250 0.625 0.375
17 As 0.375 0.250 0.625
18 As 0.375 0.625 0.750
19 As 0.625 0.375 0.250
20 As 0.625 0.750 0.375
21 As 0.750 0.375 0.625
22 As 0.750 0.875 0.125
23 As 0.875 0.125 0.750
24 As 0.875 0.250 0.125
25 W 0.000 0.000 0.000
26 W 0.000 0.000 0.500
27 W 0.000 0.500 0.000
28 W 0.000 0.500 0.500
29 W 0.500 0.000 0.000
30 W 0.500 0.000 0.500
31 W 0.500 0.500 0.000
32 W 0.500 0.500 0.500
33 N 0.013 0.197 0.111
34 N 0.013 0.316 0.902
35 N 0.086 0.697 0.684
36 N 0.086 0.889 0.402
37 N 0.098 0.611 0.414
38 N 0.098 0.987 0.684
39 N 0.111 0.013 0.197
40 N 0.111 0.598 0.914
41 N 0.184 0.197 0.586
42 N 0.184 0.487 0.598
43 N 0.197 0.111 0.013
44 N 0.197 0.586 0.184
45 N 0.303 0.316 0.914
46 N 0.303 0.487 0.389
47 N 0.316 0.902 0.013
48 N 0.316 0.914 0.303
49 N 0.389 0.303 0.487
50 N 0.389 0.586 0.902
51 N 0.402 0.086 0.889
52 N 0.402 0.816 0.513
53 N 0.414 0.098 0.611
54 N 0.414 0.816 0.803
55 N 0.487 0.389 0.303
56 N 0.487 0.598 0.184
57 N 0.513 0.402 0.816
58 N 0.513 0.611 0.697
59 N 0.586 0.184 0.197
60 N 0.586 0.902 0.389
61 N 0.598 0.184 0.487
62 N 0.598 0.914 0.111
63 N 0.611 0.414 0.098
64 N 0.611 0.697 0.513
65 N 0.684 0.086 0.697
66 N 0.684 0.098 0.987
67 N 0.697 0.513 0.611
68 N 0.697 0.684 0.086
69 N 0.803 0.414 0.816
70 N 0.803 0.889 0.987
71 N 0.816 0.513 0.402
72 N 0.816 0.803 0.414
73 N 0.889 0.402 0.086
74 N 0.889 0.987 0.803
75 N 0.902 0.013 0.316
76 N 0.902 0.389 0.586
77 N 0.914 0.111 0.598
78 N 0.914 0.303 0.316
79 N 0.987 0.684 0.098
80 N 0.987 0.803 0.889

Entry from the Open Quantum Materials Database: NaMg4Sn2Ir after structural relaxation (PBE).

## Properties
VASP energy in eV/atom: -3.13
Crystal system: hexagonal

Cell: 4.746 4.746 8.916 Å, 90.00 90.00 120.00°
Sites, in units of the cell vectors:
1 Na 0.000 0.000 0.000
2 Mg 0.000 0.000 0.345
3 Mg 0.000 0.000 0.655
4 Mg 0.667 0.333 0.186
5 Mg 0.667 0.333 0.814
6 Sn 0.333 0.667 0.000
7 Sn 0.333 0.667 0.500
8 Ir 0.667 0.333 0.500

> VASP energy of number 3 (NaMg4Sn2Ir)?

-3.13 eV/atom